[1]
First-principles (PBE) data for In5Sb4 after structural relaxation, as listed in Alexandria.

ΔE_f (raw) (meV/atom): 101
Energy relative to the lowest polymorph listed for this composition (meV per atom): 40.2
Space-group type: I4/mmm (139)

Structure (POSCAR):
```
In5Sb4
1.0
-5.177 5.177 2.332
5.177 -5.177 2.332
5.177 5.177 -2.332
Sb In
4 5
direct
0.000 0.339 0.339 Sb
0.000 0.661 0.661 Sb
0.661 0.000 0.661 Sb
0.339 0.000 0.339 Sb
0.334 0.666 0.000 In
0.666 0.334 0.000 In
0.334 0.334 0.668 In
0.000 0.000 0.000 In
0.666 0.666 0.332 In
```

***

[2]
First-principles (PBE) data for In4Sb3 after structural relaxation, as listed in Alexandria.

ΔE_f (raw) (meV/atom): 77
Space-group type: I4/mmm (139)

Structure (POSCAR):
```
In4Sb3
1.0
-1.920 1.920 13.548
1.920 -1.920 13.548
1.920 1.920 -13.548
Sb In
3 4
direct
0.723 0.723 0.000 Sb
0.000 0.000 0.000 Sb
0.277 0.277 0.000 Sb
0.857 0.857 0.000 In
0.143 0.143 0.000 In
0.434 0.434 0.000 In
0.566 0.566 0.000 In
```

***

Which value of ΔE_f (raw) does entry 2 give? 77 meV/atom